Entry from the Alexandria database: a relaxed structure of PuHf2In3 (PBE).

Unit cell a=3.1314 b=3.1314 c=13.9608 alpha=90.00 beta=90.00 gamma=90.00
Element x y z (fractional)
Pu (0.0000, 0.0000, 0.0000)
Hf (0.0000, 0.0000, 0.3418)
Hf (0.0000, 0.0000, 0.6582)
In (0.5000, 0.5000, 0.1811)
In (0.5000, 0.5000, 0.5000)
In (0.5000, 0.5000, 0.8189)

Properties
Its space group is P4/mmm. The value obtained for the raw total energy is -7.2414 eV per atom. The calculation puts the formation energy at -0.166 eV/atom.